Entry 1:
A geometry-optimized MoSeSBr2 structure, computed with GGA-PBE.

It has space group P4/mmm (No. 123), with a = 5.022 Å, b = 5.022 Å, c = 4.908 Å, α = 90.00°, β = 90.00° and γ = 90.00°. The inequivalent atoms are Mo at (0.000, 0.000, 0.000), Se at (0.000, 0.000, 0.500), S at (0.500, 0.500, 0.500) and Br at (0.000, 0.500, 0.000).

The calculation puts the total magnetic moment at 0.0 μB per formula unit. The uncorrected formation energy is 235 kJ/mol of formula units. Its raw total energy is -3.87 eV per atom. Its density of states at the Fermi level is 5.2 states/eV/f.u. Its calculated density is 4.92 g cm⁻³.


Entry 2:
A geometry-optimized TcMoS2Br structure, computed with GGA-PBE.

It has space group P4/mmm (No. 123), with a = 4.619 Å, b = 4.619 Å, c = 5.363 Å, α = 90.00°, β = 90.00° and γ = 90.00°. The inequivalent atoms are Tc at (0.000, 0.000, 0.000), Mo at (0.500, 0.500, 0.500), S at (0.000, 0.500, 0.500) and Br at (0.500, 0.500, 0.000).

The calculation puts the total magnetic moment at 4.5 μB per formula unit. The uncorrected formation energy is 350 kJ/mol of formula units. Its raw total energy is -5.50 eV per atom. Its density of states at the Fermi level is 4.5 states/eV/f.u. Its calculated density is 4.90 g cm⁻³.


Entry 3:
A geometry-optimized SbMo3Br structure, computed with GGA-PBE.

It has space group Pm-3m (No. 221), with a = 4.998 Å, b = 4.998 Å, c = 4.998 Å, α = 90.00°, β = 90.00° and γ = 90.00°. The inequivalent atoms are Sb at (0.000, 0.000, 0.000), Mo at (0.000, 0.000, 0.500) and Br at (0.500, 0.500, 0.500).

The calculation puts the total magnetic moment at 0.8 μB per formula unit. The uncorrected formation energy is 1051 kJ/mol of formula units. Its raw total energy is -5.48 eV per atom. Its density of states at the Fermi level is 7.8 states/eV/f.u. Its calculated density is 6.51 g cm⁻³.


Entry 4:
A geometry-optimized SbMoBr structure, computed with GGA-PBE.

It has space group F-43m (No. 216), with a = 6.680 Å, b = 6.680 Å, c = 6.680 Å, α = 90.00°, β = 90.00° and γ = 90.00°. The inequivalent atoms are Sb at (0.000, 0.000, 0.000), Mo at (0.250, 0.250, 0.750) and Br at (0.000, 0.000, 0.500).

The calculation puts the total magnetic moment at 2.0 μB per formula unit. The uncorrected formation energy is 135 kJ/mol of formula units. Its raw total energy is -5.08 eV per atom. Its density of states at the Fermi level is 1.1 states/eV/f.u. Its calculated density is 6.63 g cm⁻³.


Entry 5:
A geometry-optimized SbMoBr structure, computed with GGA-PBE.

It has space group I4mm (No. 107), with a = 3.197 Å, b = 3.197 Å, c = 14.224 Å, α = 90.00°, β = 90.00° and γ = 90.00°. The inequivalent atoms are Sb at (0.000, 0.000, 0.000), Mo at (0.000, 0.000, 0.371) and Br at (0.000, 0.000, 0.761).

The calculation puts the total magnetic moment at 0.0 μB per formula unit. The uncorrected formation energy is 54 kJ/mol of formula units. Its raw total energy is -5.35 eV per atom. Its density of states at the Fermi level is 1.6 states/eV/f.u. Its calculated density is 6.80 g cm⁻³.


Entry 6:
A geometry-optimized SbMoBr4 structure, computed with GGA-PBE.

It has space group F-43m (No. 216), with a = 8.750 Å, b = 8.750 Å, c = 8.750 Å, α = 90.00°, β = 90.00° and γ = 90.00°. The inequivalent atoms are Sb at (0.000, 0.000, 0.000), Mo at (0.250, 0.250, 0.250) and Br at (0.125, 0.125, 0.625).

The calculation puts the total magnetic moment at 3.3 μB per formula unit. The uncorrected formation energy is 663 kJ/mol of formula units. Its raw total energy is -2.46 eV per atom. Its density of states at the Fermi level is 5.7 states/eV/f.u. Its calculated density is 5.33 g cm⁻³.